# 1
The following is a DFT calculation (PBE-GGA) of a relaxed MgZr3 crystal.

Output
The value obtained for the volume is 180.1 Å³ per cell. As for the energy of formation from the pure elements: 26 meV per atom. The raw total energy is -54.266 eV for the cell shown. Its space group is No. 194.

a b c (Å): 6.3612 6.3612 5.1397
angles (deg): 90.00 90.00 120.00
Closest atoms and distances in Å follow each position.
Fractional coordinates of all 8 atoms:
Mg  0.3333  0.6667  0.2500  12 Zr 3.15-3.18
Mg  0.6667  0.3333  0.7500  12 Zr 3.15-3.18
Zr  0.1684  0.3369  0.7500  8 Zr 3.15-3.21, 4 Mg 3.15-3.18
Zr  0.1684  0.8316  0.7500  8 Zr 3.15-3.21, 4 Mg 3.15-3.18
Zr  0.3369  0.1684  0.2500  8 Zr 3.15-3.21, 4 Mg 3.15-3.18
Zr  0.6631  0.8316  0.7500  8 Zr 3.15-3.21, 4 Mg 3.15-3.18
Zr  0.8316  0.1684  0.2500  8 Zr 3.15-3.21, 4 Mg 3.15-3.18
Zr  0.8316  0.6631  0.2500  8 Zr 3.15-3.21, 4 Mg 3.15-3.18

=====

# 2
The following is a DFT calculation (PBE-GGA) of a relaxed MgZr2 crystal.

Output
The value obtained for the volume is 70.6 Å³ per cell. As for the energy of formation from the pure elements: 44 meV per atom. The raw total energy is -18.560 eV for the cell shown. Its space group is No. 164.

a b c (Å): 3.2325 3.2325 7.8056
angles (deg): 90.00 90.00 120.00
Closest atoms and distances in Å follow each position.
Fractional coordinates of all 3 atoms:
Mg  0.0000  0.0000  0.0000  6 Mg 3.23, 6 Zr 3.26
Zr  0.3333  0.6667  0.6576  9 Zr 3.09-3.23, 3 Mg 3.26
Zr  0.6667  0.3333  0.3424  9 Zr 3.09-3.23, 3 Mg 3.26

=====

# 3
The following is a DFT calculation (PBE-GGA) of a relaxed Mg2Zr crystal.

Output
The value obtained for the volume is 67.5 Å³ per cell. As for the energy of formation from the pure elements: 37 meV per atom. The raw total energy is -11.626 eV for the cell shown. Its space group is No. 164.

a b c (Å): 3.1088 3.1088 8.0610
angles (deg): 90.00 90.00 120.00
Closest atoms and distances in Å follow each position.
Fractional coordinates of all 3 atoms:
Mg  0.3333  0.6667  0.3346  9 Mg 3.11-3.21, 3 Zr 3.24
Mg  0.6667  0.3333  0.6654  9 Mg 3.11-3.21, 3 Zr 3.24
Zr  0.0000  0.0000  0.0000  6 Zr 3.11, 6 Mg 3.24

=====

# 4
The following is a DFT calculation (PBE-GGA) of a relaxed MgZr3 crystal.

Output
The value obtained for the volume is 183.4 Å³ per cell. As for the energy of formation from the pure elements: 58 meV per atom. The raw total energy is -54.015 eV for the cell shown. Its space group is No. 63.

a b c (Å): 6.3828 6.3828 5.0973
angles (deg): 90.00 90.00 117.95
Closest atoms and distances in Å follow each position.
Fractional coordinates of all 8 atoms:
Mg  0.0889  0.9111  0.7500  10 Zr 3.16-3.29, 2 Mg 3.21
Mg  0.9111  0.0889  0.2500  10 Zr 3.16-3.29, 2 Mg 3.21
Zr  0.0966  0.4181  0.7500  8 Zr 3.11-3.39, 4 Mg 3.16-3.21
Zr  0.4134  0.5866  0.2500  10 Zr 3.11-3.24, 2 Mg 3.29
Zr  0.4181  0.0966  0.2500  8 Zr 3.11-3.39, 4 Mg 3.16-3.21
Zr  0.5819  0.9034  0.7500  8 Zr 3.11-3.39, 4 Mg 3.16-3.21
Zr  0.5866  0.4134  0.7500  10 Zr 3.11-3.24, 2 Mg 3.29
Zr  0.9034  0.5819  0.2500  8 Zr 3.11-3.39, 4 Mg 3.16-3.21

=====

# 5
The following is a DFT calculation (PBE-GGA) of a relaxed MgZr crystal.

Output
The value obtained for the volume is 91.1 Å³ per cell. As for the energy of formation from the pure elements: 151 meV per atom. The raw total energy is -19.683 eV for the cell shown. Its space group is No. 63.

a b c (Å): 6.1548 6.1548 5.0269
angles (deg): 90.00 90.00 151.40
Closest atoms and distances in Å follow each position.
Fractional coordinates of all 4 atoms:
Mg  0.1777  0.8223  0.7500  2 Mg 3.04, 7 Zr 3.16-3.28
Mg  0.8223  0.1777  0.2500  2 Mg 3.04, 7 Zr 3.16-3.28
Zr  0.4456  0.5544  0.7500  4 Zr 2.83-3.04, 2 Mg 3.16
Zr  0.5544  0.4456  0.2500  4 Zr 2.83-3.04, 2 Mg 3.16

=====

# 6
The following is a DFT calculation (PBE-GGA) of a relaxed Mg15Zr crystal.

Output
The value obtained for the volume is 364.7 Å³ per cell. As for the energy of formation from the pure elements: 9 meV per atom. The raw total energy is -32.318 eV for the cell shown. Its space group is No. 187.

a b c (Å): 6.4161 6.4161 10.2288
angles (deg): 90.00 90.00 120.00
Closest atoms and distances in Å follow each position.
Fractional coordinates of all 16 atoms:
Mg  0.0000  0.0000  0.0000  12 Mg 3.17-3.21
Mg  0.9996  0.4998  0.0000  12 Mg 3.20-3.21
Mg  0.0060  0.5030  0.5000  10 Mg 3.13-3.27, 2 Zr 3.21
Mg  0.1634  0.3267  0.2537  1 Zr 3.11, 11 Mg 3.13-3.27
Mg  0.1634  0.3267  0.7463  1 Zr 3.11, 11 Mg 3.13-3.27
Mg  0.1634  0.8366  0.2537  1 Zr 3.11, 11 Mg 3.13-3.27
Mg  0.1634  0.8366  0.7463  1 Zr 3.11, 11 Mg 3.13-3.27
Mg  0.4970  0.5030  0.5000  10 Mg 3.13-3.27, 2 Zr 3.21
Mg  0.4970  0.9940  0.5000  10 Mg 3.13-3.27, 2 Zr 3.21
Mg  0.5002  0.0004  0.0000  12 Mg 3.20-3.21
Mg  0.5002  0.4998  0.0000  12 Mg 3.20-3.21
Mg  0.6667  0.3333  0.2562  12 Mg 3.13-3.21
Mg  0.6667  0.3333  0.7438  12 Mg 3.13-3.21
Mg  0.6733  0.8366  0.2537  1 Zr 3.11, 11 Mg 3.13-3.27
Mg  0.6733  0.8366  0.7463  1 Zr 3.11, 11 Mg 3.13-3.27
Zr  0.0000  0.0000  0.5000  12 Mg 3.11-3.21